{
  "formula": "Pr2Zn5Pt5",
  "functional": "PBE",
  "state": "optimized geometry",
  "lattice_angstrom": [[4.321, 0.000, 0.000], [0.000, 5.360, 0.000], [0.000, 0.000, 9.509]],
  "species": ["Pr", "Pr", "Zn", "Zn", "Zn", "Zn", "Zn", "Pt", "Pt", "Pt", "Pt", "Pt"],
  "frac_coords": [[0.000, 0.500, 0.000], [0.000, 0.000, 0.500], [0.500, 0.500, 0.500], [0.500, 0.751, 0.249], [0.500, 0.249, 0.751], [0.500, 0.249, 0.249], [0.500, 0.751, 0.751], [0.000, 0.500, 0.333], [0.000, 0.000, 0.822], [0.000, 0.000, 0.178], [0.000, 0.500, 0.667], [0.500, 0.000, 0.000]],
  "formation_energy_mev_per_atom": -744,
  "final_energy_ev_per_cell": -55.06,
  "relative_energy_mev_per_atom": 0.0,
  "dos_at_fermi_per_ev_fu": 4.6,
  "vol_a3_per_cell": 220.3
}


{
  "formula": "Pr3Zn8Pt3",
  "functional": "PBE",
  "state": "optimized geometry",
  "lattice_angstrom": [[4.275, 0.000, 0.000], [2.138, 8.130, 0.188], [2.138, 2.395, 7.772]],
  "species": ["Pr", "Pr", "Pr", "Zn", "Zn", "Zn", "Zn", "Zn", "Zn", "Zn", "Zn", "Pt", "Pt", "Pt"],
  "frac_coords": [[0.500, 0.500, 0.500], [0.827, 0.173, 0.173], [0.173, 0.827, 0.827], [0.623, 0.100, 0.655], [0.377, 0.900, 0.345], [0.623, 0.655, 0.100], [0.377, 0.345, 0.900], [0.820, 0.818, 0.541], [0.180, 0.182, 0.459], [0.820, 0.541, 0.818], [0.180, 0.459, 0.182], [0.500, 0.000, 0.000], [0.000, 0.762, 0.238], [0.000, 0.238, 0.762]],
  "formation_energy_mev_per_atom": -573,
  "final_energy_ev_per_cell": -50.67,
  "dos_at_fermi_per_ev_fu": 8.5,
  "vol_a3_per_cell": 268.2
}


{
  "formula": "PrZn3Pt3",
  "functional": "PBE",
  "state": "optimized geometry",
  "lattice_angstrom": [[-0.125, -6.762, 0.909], [6.811, -0.179, -0.392], [0.412, 0.900, 6.752]],
  "species": ["Pr", "Pr", "Zn", "Zn", "Zn", "Zn", "Zn", "Zn", "Pt", "Pt", "Pt", "Pt", "Pt", "Pt"],
  "frac_coords": [[0.500, 0.500, 0.500], [0.000, 0.000, 0.000], [0.000, 0.250, 0.500], [0.000, 0.750, 0.500], [0.500, 0.000, 0.750], [0.750, 0.500, 0.000], [0.500, 0.000, 0.250], [0.250, 0.500, 0.000], [0.250, 0.000, 0.500], [0.000, 0.500, 0.250], [0.500, 0.750, 0.000], [0.750, 0.000, 0.500], [0.000, 0.500, 0.750], [0.500, 0.250, 0.000]],
  "formation_energy_mev_per_atom": -167,
  "final_energy_ev_per_cell": -55.79,
  "relative_energy_mev_per_atom": 407.0,
  "dos_at_fermi_per_ev_fu": 2.2,
  "vol_a3_per_cell": 317.8
}


{
  "formula": "PrZnPt4",
  "functional": "PBE",
  "state": "optimized geometry",
  "lattice_angstrom": [[-2.767, -2.719, -0.962], [3.437, -4.742, 3.520], [-2.739, 3.237, 7.035]],
  "species": ["Pr", "Pr", "Zn", "Zn", "Pt", "Pt", "Pt", "Pt", "Pt", "Pt", "Pt", "Pt"],
  "frac_coords": [[0.106, 0.250, 0.213], [0.894, 0.750, 0.787], [0.236, 0.750, 0.471], [0.764, 0.250, 0.529], [0.500, 0.500, 0.000], [0.500, 0.000, 0.000], [0.675, 0.950, 0.350], [0.325, 0.050, 0.650], [0.325, 0.450, 0.650], [0.675, 0.550, 0.350], [0.075, 0.750, 0.151], [0.925, 0.250, 0.849]],
  "formation_energy_mev_per_atom": -685,
  "final_energy_ev_per_cell": -68.65,
  "dos_at_fermi_per_ev_fu": 2.2,
  "vol_a3_per_cell": 217.5
}


{
  "formula": "PrZnPt2",
  "functional": "PBE",
  "state": "optimized geometry",
  "lattice_angstrom": [[-5.002, -3.019, 0.271], [1.347, -1.617, 6.835], [-3.622, 6.197, 2.180]],
  "species": ["Pr", "Pr", "Pr", "Pr", "Zn", "Zn", "Zn", "Zn", "Pt", "Pt", "Pt", "Pt", "Pt", "Pt", "Pt", "Pt"],
  "frac_coords": [[0.354, 0.250, 0.030], [0.854, 0.750, 0.470], [0.646, 0.750, 0.970], [0.146, 0.250, 0.530], [0.651, 0.250, 0.383], [0.151, 0.750, 0.117], [0.349, 0.750, 0.617], [0.849, 0.250, 0.883], [0.917, 0.052, 0.180], [0.417, 0.948, 0.320], [0.083, 0.552, 0.820], [0.583, 0.448, 0.680], [0.083, 0.948, 0.820], [0.583, 0.052, 0.680], [0.917, 0.448, 0.180], [0.417, 0.552, 0.320]],
  "formation_energy_mev_per_atom": -868,
  "final_energy_ev_per_cell": -86.42,
  "dos_at_fermi_per_ev_fu": 2.1,
  "vol_a3_per_cell": 313.7
}


{
  "formula": "PrZn9Pt2",
  "functional": "PBE",
  "state": "optimized geometry",
  "lattice_angstrom": [[6.305, 0.000, 2.903], [3.153, 7.542, 1.451], [-0.001, 0.000, 8.302]],
  "species": ["Pr", "Pr", "Zn", "Zn", "Zn", "Zn", "Zn", "Zn", "Zn", "Zn", "Zn", "Zn", "Zn", "Zn", "Zn", "Zn", "Zn", "Zn", "Zn", "Zn", "Pt", "Pt", "Pt", "Pt"],
  "frac_coords": [[0.500, 0.000, 0.000], [0.250, 0.500, 0.500], [0.750, 0.500, 0.500], [0.000, 0.000, 0.000], [0.010, 0.915, 0.672], [0.597, 0.085, 0.328], [0.675, 0.172, 0.585], [0.431, 0.828, 0.415], [0.740, 0.828, 0.585], [0.153, 0.172, 0.415], [0.075, 0.915, 0.328], [0.319, 0.085, 0.672], [0.740, 0.585, 0.828], [0.153, 0.415, 0.172], [0.075, 0.328, 0.915], [0.319, 0.672, 0.085], [0.010, 0.672, 0.915], [0.597, 0.328, 0.085], [0.675, 0.585, 0.172], [0.431, 0.415, 0.828], [0.875, 0.250, 0.750], [0.875, 0.750, 0.250], [0.875, 0.250, 0.250], [0.375, 0.750, 0.750]],
  "formation_energy_mev_per_atom": -425,
  "final_energy_ev_per_cell": -66.85,
  "relative_energy_mev_per_atom": 0.0,
  "dos_at_fermi_per_ev_fu": 5.7,
  "vol_a3_per_cell": 394.8
}


{
  "formula": "Pr3ZnPt2",
  "functional": "PBE",
  "state": "optimized geometry",
  "lattice_angstrom": [[4.088, 0.000, 0.000], [0.000, 12.284, 0.000], [0.000, 0.000, 12.355]],
  "species": ["Pr", "Pr", "Pr", "Pr", "Pr", "Pr", "Pr", "Pr", "Pr", "Pr", "Pr", "Pr", "Zn", "Zn", "Zn", "Zn", "Pt", "Pt", "Pt", "Pt", "Pt", "Pt", "Pt", "Pt"],
  "frac_coords": [[0.250, 0.373, 0.055], [0.750, 0.627, 0.945], [0.750, 0.873, 0.445], [0.250, 0.127, 0.555], [0.250, 0.680, 0.206], [0.750, 0.320, 0.794], [0.750, 0.180, 0.294], [0.250, 0.820, 0.706], [0.250, 0.428, 0.369], [0.750, 0.572, 0.631], [0.750, 0.928, 0.131], [0.250, 0.072, 0.869], [0.250, 0.123, 0.120], [0.750, 0.877, 0.880], [0.750, 0.623, 0.380], [0.250, 0.377, 0.620], [0.250, 0.691, 0.494], [0.750, 0.309, 0.506], [0.750, 0.191, 0.006], [0.250, 0.809, 0.994], [0.250, 0.007, 0.315], [0.750, 0.993, 0.685], [0.750, 0.507, 0.185], [0.250, 0.493, 0.815]],
  "formation_energy_mev_per_atom": -820,
  "final_energy_ev_per_cell": -130.47,
  "dos_at_fermi_per_ev_fu": 4.8,
  "vol_a3_per_cell": 620.4
}


{
  "formula": "PrZn9Pt2",
  "functional": "PBE",
  "state": "optimized geometry",
  "lattice_angstrom": [[3.305, 0.000, 0.000], [0.000, 8.583, 0.000], [0.000, -4.291, 7.433]],
  "species": ["Pr", "Zn", "Zn", "Zn", "Zn", "Zn", "Zn", "Zn", "Zn", "Zn", "Pt", "Pt"],
  "frac_coords": [[0.000, 0.000, 0.000], [0.500, 0.810, 0.190], [0.000, 0.000, 0.500], [0.000, 0.500, 0.500], [0.500, 0.810, 0.620], [0.500, 0.190, 0.810], [0.500, 0.620, 0.810], [0.500, 0.190, 0.380], [0.000, 0.500, 0.000], [0.500, 0.380, 0.190], [0.000, 0.667, 0.333], [0.000, 0.333, 0.667]],
  "formation_energy_mev_per_atom": -299,
  "final_energy_ev_per_cell": -31.91,
  "relative_energy_mev_per_atom": 126.1,
  "dos_at_fermi_per_ev_fu": 5.1,
  "vol_a3_per_cell": 210.8
}